# 1
VASP calculation (GGA-PBE) on crystalline YAs3Rh at its relaxed geometry. Values from VASP.

Values from the calculation:
Spin magnetization ... 0.22 μB/atom
Calculated total energy ... -22.82 eV/f.u.
Energy of formation ... 4.9 eV/f.u.
Excess energy over the best structure of this formula in the dataset ... 1090.5 meV/atom

```
&SYSTEM
  ibrav = 0, nat = 5, ntyp = 3
/
ATOMIC_SPECIES
Y 88.91 Y.upf
As 74.92 As.upf
Rh 102.91 Rh.upf
ATOMIC_POSITIONS angstrom
Y 0.000 0.000 0.000
As 0.000 0.000 2.656
As 0.000 2.656 0.000
As 2.656 0.000 0.000
Rh 2.656 2.656 2.656
CELL_PARAMETERS angstrom
5.311 0.000 0.000
0.000 5.311 0.000
0.000 0.000 5.311
```

# 2
VASP calculation (GGA-PBE) on crystalline Pr3NdSm12 at its relaxed geometry. Values from VASP.

Values from the calculation:
Spin magnetization ... 0.00 μB/atom
Calculated total energy ... -75.51 eV/f.u.
Energy of formation ... 0.2 eV/f.u.

```
&SYSTEM
  ibrav = 0, nat = 16, ntyp = 3
/
ATOMIC_SPECIES
Pr 140.91 Pr.upf
Nd 144.24 Nd.upf
Sm 150.36 Sm.upf
ATOMIC_POSITIONS angstrom
Pr 0.000 0.000 0.000
Pr 0.000 0.000 5.160
Pr 0.000 0.000 15.447
Nd 0.000 0.000 10.304
Sm 0.000 2.579 2.581
Sm 0.000 2.579 7.739
Sm 0.000 2.579 12.868
Sm 0.000 2.579 18.026
Sm 2.579 0.000 2.581
Sm 2.579 0.000 7.739
Sm 2.579 0.000 12.868
Sm 2.579 0.000 18.026
Sm 2.579 2.579 0.000
Sm 2.579 2.579 5.162
Sm 2.579 2.579 10.304
Sm 2.579 2.579 15.445
CELL_PARAMETERS angstrom
5.158 0.000 0.000
0.000 5.158 0.000
0.000 0.000 20.607
```

# 3
VASP calculation (GGA-PBE) on crystalline CaTlSb at its relaxed geometry. Values from VASP.

Values from the calculation:
Spin magnetization ... 0.00 μB/atom
ΔE_f (raw) ... -0.559 eV/atom
Calculated total energy ... -10.17 eV/f.u.
Excess energy over the best structure of this formula in the dataset ... 0.0 meV/atom

```
&SYSTEM
  ibrav = 0, nat = 12, ntyp = 3
/
ATOMIC_SPECIES
Ca 40.08 Ca.upf
Tl 204.38 Tl.upf
Sb 121.76 Sb.upf
ATOMIC_POSITIONS angstrom
Ca 1.183 1.205 1.129
Ca 4.410 3.616 4.915
Ca 6.776 1.205 2.657
Ca 10.003 3.616 6.442
Tl 1.013 1.205 4.836
Tl 4.580 3.616 1.050
Tl 6.606 1.205 6.522
Tl 10.173 3.616 2.736
Sb 1.978 3.616 6.829
Sb 3.615 1.205 3.044
Sb 7.570 3.616 4.528
Sb 9.208 1.205 0.742
CELL_PARAMETERS angstrom
11.186 0.000 0.000
0.000 4.821 0.000
0.000 0.000 7.572
```

# 4
VASP calculation (GGA-PBE) on crystalline Er6SnAu5 at its relaxed geometry. Values from VASP.

Values from the calculation:
Spin magnetization ... 0.00 μB/atom
Calculated total energy ... -57.77 eV/f.u.
Energy of formation ... -10.0 eV/f.u.

```
&SYSTEM
  ibrav = 0, nat = 12, ntyp = 3
/
ATOMIC_SPECIES
Er 167.26 Er.upf
Sn 118.71 Sn.upf
Au 196.97 Au.upf
ATOMIC_POSITIONS angstrom
Er 2.537 1.769 -2.596
Er 0.000 1.735 0.000
Er 2.537 1.769 2.596
Er 0.000 1.849 5.029
Er 0.000 5.501 0.000
Er 0.000 1.849 10.221
Sn 0.000 0.000 7.625
Au 2.537 0.000 0.000
Au 0.000 0.000 2.528
Au 2.537 0.000 5.123
Au 0.000 3.618 2.502
Au 0.000 0.000 12.722
CELL_PARAMETERS angstrom
-2.537 3.618 7.625
2.537 -3.618 7.625
2.537 3.618 -7.625
```

# 5
VASP calculation (GGA-PBE) on crystalline Cd2AgTe2 at its relaxed geometry. Values from VASP.

Values from the calculation:
Spin magnetization ... 0.00 μB/atom
ΔE_f (raw) ... -0.049 eV/atom
Calculated total energy ... -11.21 eV/f.u.
Excess energy over the best structure of this formula in the dataset ... 0.0 meV/atom

```
&SYSTEM
  ibrav = 0, nat = 10, ntyp = 3
/
ATOMIC_SPECIES
Cd 112.41 Cd.upf
Ag 107.87 Ag.upf
Te 127.60 Te.upf
ATOMIC_POSITIONS angstrom
Cd 0.999 3.074 0.000
Cd 3.074 7.146 0.000
Cd 5.072 0.999 0.000
Cd 7.146 5.072 0.000
Ag 0.000 0.000 2.162
Ag 4.073 4.073 2.162
Te 1.674 5.747 2.162
Te 2.399 1.674 2.162
Te 5.747 6.471 2.162
Te 6.471 2.399 2.162
CELL_PARAMETERS angstrom
8.145 0.000 0.000
0.000 8.145 0.000
0.000 0.000 4.324
```

# 6
VASP calculation (GGA-PBE) on crystalline TlTcI2O at its relaxed geometry. Values from VASP.

Values from the calculation:
Spin magnetization ... 0.90 μB/atom
ΔE_f (raw) ... 0.715 eV/atom
Calculated total energy ... -17.22 eV/f.u.
Excess energy over the best structure of this formula in the dataset ... 1140.3 meV/atom

```
&SYSTEM
  ibrav = 0, nat = 5, ntyp = 4
/
ATOMIC_SPECIES
Tl 204.38 Tl.upf
Tc 98.00 Tc.upf
I 126.90 I.upf
O 16.00 O.upf
ATOMIC_POSITIONS angstrom
Tl 0.000 0.000 0.000
Tc 3.084 3.084 2.035
I 0.000 3.084 0.000
I 3.084 0.000 0.000
O 0.000 0.000 2.035
CELL_PARAMETERS angstrom
6.169 0.000 0.000
0.000 6.169 0.000
0.000 0.000 4.071
```

# 7
VASP calculation (GGA-PBE) on crystalline BePdC3 at its relaxed geometry. Values from VASP.

Values from the calculation:
Spin magnetization ... 0.00 μB/atom
Calculated total energy ... -25.19 eV/f.u.
Energy of formation ... 11.4 eV/f.u.
Excess energy over the best structure of this formula in the dataset ... 0.0 meV/atom

```
&SYSTEM
  ibrav = 0, nat = 5, ntyp = 3
/
ATOMIC_SPECIES
Be 9.01 Be.upf
Pd 106.42 Pd.upf
C 12.01 C.upf
ATOMIC_POSITIONS angstrom
Be 0.000 0.000 0.000
Pd 1.802 1.802 1.802
C 0.000 0.000 1.802
C 0.000 1.802 0.000
C 1.802 0.000 0.000
CELL_PARAMETERS angstrom
3.605 0.000 0.000
0.000 3.605 0.000
0.000 0.000 3.605
```

# 8
VASP calculation (GGA-PBE) on crystalline InOsBr4 at its relaxed geometry. Values from VASP.

Values from the calculation:
Spin magnetization ... 0.60 μB/atom
ΔE_f (raw) ... 1.302 eV/atom
Calculated total energy ... -12.85 eV/f.u.

```
&SYSTEM
  ibrav = 0, nat = 6, ntyp = 3
/
ATOMIC_SPECIES
In 114.82 In.upf
Os 190.23 Os.upf
Br 79.90 Br.upf
ATOMIC_POSITIONS angstrom
In 0.000 0.000 0.000
Os 6.730 6.730 6.730
Br 3.373 3.373 3.373
Br 5.600 5.600 3.373
Br 5.600 3.373 5.600
Br 3.373 5.600 5.600
CELL_PARAMETERS angstrom
0.000 4.486 4.486
4.486 0.000 4.486
4.486 4.486 0.000
```

# 9
VASP calculation (GGA-PBE) on crystalline MgCrFe2 at its relaxed geometry. Values from VASP.

Values from the calculation:
Spin magnetization ... 0.93 μB/atom
Calculated total energy ... -26.92 eV/f.u.
Energy of formation ... 1.2 eV/f.u.

```
&SYSTEM
  ibrav = 0, nat = 4, ntyp = 3
/
ATOMIC_SPECIES
Mg 24.30 Mg.upf
Cr 52.00 Cr.upf
Fe 55.84 Fe.upf
ATOMIC_POSITIONS angstrom
Mg 0.000 0.000 0.000
Cr 0.678 0.000 2.572
Fe -0.163 1.978 3.719
Fe 1.519 1.978 1.424
CELL_PARAMETERS angstrom
2.535 0.000 0.000
0.000 3.956 0.000
-1.179 0.000 5.143
```

# 10
VASP calculation (GGA-PBE) on crystalline Sm3Tl2Pt at its relaxed geometry. Values from VASP.

Values from the calculation:
Spin magnetization ... 0.00 μB/atom
Calculated total energy ... -28.07 eV/f.u.
Energy of formation ... -3.1 eV/f.u.

```
&SYSTEM
  ibrav = 0, nat = 12, ntyp = 3
/
ATOMIC_SPECIES
Sm 150.36 Sm.upf
Tl 204.38 Tl.upf
Pt 195.08 Pt.upf
ATOMIC_POSITIONS angstrom
Sm 0.634 2.012 6.015
Sm 1.164 0.000 1.409
Sm 0.634 -2.012 6.015
Sm 5.803 2.012 1.844
Sm 5.273 0.000 6.450
Sm 5.803 -2.012 1.844
Tl -0.768 0.000 3.930
Tl 3.218 1.530 3.930
Tl 3.987 0.000 0.000
Tl 3.218 -1.530 3.930
Pt 3.987 3.396 0.000
Pt 3.987 -3.396 0.000
CELL_PARAMETERS angstrom
3.987 -5.696 0.000
3.987 5.696 0.000
-1.536 0.000 7.859
```

# 11
VASP calculation (GGA-PBE) on crystalline Sr2Pt at its relaxed geometry. Values from VASP.

Values from the calculation:
Spin magnetization ... 0.00 μB/atom
Calculated total energy ... -11.10 eV/f.u.
Energy of formation ... -1.7 eV/f.u.

```
&SYSTEM
  ibrav = 0, nat = 6, ntyp = 2
/
ATOMIC_SPECIES
Sr 87.62 Sr.upf
Pt 195.08 Pt.upf
ATOMIC_POSITIONS angstrom
Sr 2.179 7.489 4.664
Sr 2.179 3.388 4.664
Sr 2.179 -3.388 1.555
Sr 2.179 -7.489 1.555
Pt 2.179 3.289 1.555
Pt 2.179 -3.289 4.664
CELL_PARAMETERS angstrom
2.179 -8.818 0.000
2.179 8.818 0.000
0.000 0.000 6.218
```

# 12
VASP calculation (GGA-PBE) on crystalline CaCdRe2 at its relaxed geometry. Values from VASP.

Values from the calculation:
Spin magnetization ... 0.00 μB/atom
Calculated total energy ... -24.66 eV/f.u.
Energy of formation ... 3.2 eV/f.u.

```
&SYSTEM
  ibrav = 0, nat = 4, ntyp = 3
/
ATOMIC_SPECIES
Ca 40.08 Ca.upf
Cd 112.41 Cd.upf
Re 186.21 Re.upf
ATOMIC_POSITIONS angstrom
Ca 0.000 0.000 0.000
Cd 0.000 0.000 4.820
Re 1.963 0.000 2.410
Re 0.000 1.963 2.410
CELL_PARAMETERS angstrom
-1.963 1.963 4.820
1.963 -1.963 4.820
1.963 1.963 -4.820
```